Entry 1:
The following is a PBE calculation of crystalline TiInCoNi at its relaxed geometry, from Alexandria.

a b c (Å): 6.103 6.103 6.103
angles (deg): 90.00 90.00 90.00
Space group F-43m (No. 216)
Unique sites:
Ti: 0.000 0.000 0.000 [4 per cell]
In: 0.000 0.000 0.500 [4 per cell]
Co: 0.250 0.250 0.250 [4 per cell]
Ni: 0.250 0.250 0.750 [4 per cell]

## Properties
For the formation energy from the elements, the calculation gives -0.265 eV/atom.

=====

Entry 2:
The following is a PBE calculation of crystalline YCoSI2 at its relaxed geometry, from Alexandria.

a b c (Å): 6.104 6.104 5.085
angles (deg): 90.00 90.00 90.00
Space group P4/mmm (No. 123)
Unique sites:
Y: 0.000 0.000 0.000 [1 per cell]
Co: 0.500 0.500 0.500 [1 per cell]
S: 0.000 0.000 0.500 [1 per cell]
I: 0.000 0.500 0.000 [2 per cell]

=====

Entry 3:
The following is a PBE calculation of crystalline Sr2TlCd2 at its relaxed geometry, from Alexandria.

a b c (Å): 9.343 9.343 4.039
angles (deg): 90.00 90.00 90.00
Space group P4/mbm (No. 127)
Unique sites:
Sr: 0.168 0.332 0.000 [4 per cell]
Tl: 0.000 0.000 0.000 [2 per cell]
Cd: 0.124 0.624 0.500 [4 per cell]

## Properties
The calculation puts the offset from the most stable computed form at 81.2 kJ/mol of formula units. For the formation energy from the elements, the calculation gives -0.162 eV/atom.

=====

Entry 4:
The following is a PBE calculation of crystalline Mn4Al5 at its relaxed geometry, from Alexandria.

a b c (Å): 8.131 8.131 3.743
angles (deg): 90.00 90.00 90.00
Space group I4/mmm (No. 139)
Unique sites:
Mn: 0.000 0.329 0.000 [8 per cell]
Al: 0.000 0.000 0.000 [2 per cell]
Al: 0.171 0.171 0.500 [8 per cell]

## Properties
The calculation puts the offset from the most stable computed form at 0.0 kJ/mol of formula units. For the formation energy from the elements, the calculation gives -0.127 eV/atom.

=====

no.,total DFT energy (no corrections) (eV/atom),density of states at the Fermi level (states/eV per atom)
1,-6.1453,1.048
2,-4.1755,1.459
3,-1.6735,0.771
4,-6.2819,0.729